[1]
# Nb2CuAgO

A relaxed structure of Nb2CuAgO (PBE, Alexandria via LeMat-Bulk).

Output
Total moment: 0.00 μB/cell
Total DFT energy (no corrections): -4.99 eV per atom
Fermi-level density of states: 4.02 states/eV/cell

Lattice parameters (Å, degrees): 4.6353 4.6353 4.6209 90.00 90.00 90.00
Space group P4/mmm (No. 123)
Inequivalent atoms, fractional coordinates:
Nb 0.0000 0.5000 0.0000 (multiplicity 2)
Cu 0.0000 0.0000 0.0000 (multiplicity 1)
Ag 0.0000 0.0000 0.5000 (multiplicity 1)
O 0.5000 0.5000 0.5000 (multiplicity 1)



[2]
# Rb2NbCuAg

A relaxed structure of Rb2NbCuAg (PBE, Alexandria via LeMat-Bulk).

Output
Energy relative to the elements: 1.2264 eV/atom
Total moment: 4.82 μB/cell
Total DFT energy (no corrections): -2.56 eV per atom
Fermi-level density of states: 2.67 states/eV/cell

Lattice parameters (Å, degrees): 6.9904 6.9904 4.9948 90.00 90.00 90.00
Space group P4/mmm (No. 123)
Inequivalent atoms, fractional coordinates:
Rb 0.0000 0.5000 0.0000 (multiplicity 2)
Nb 0.0000 0.0000 0.0000 (multiplicity 1)
Cu 0.0000 0.0000 0.5000 (multiplicity 1)
Ag 0.5000 0.5000 0.5000 (multiplicity 1)